<a>
Computed, not measured: LiNdMg after structural relaxation at the GGA-PBE level of DFT.

Lattice parameters (Å, degrees): 3.5511 3.5459 12.4606 89.99 90.03 90.00
Sites, in units of the cell vectors:
Nd 0.3728 0.7911 0.3644
Mg 0.3714 0.7913 0.9552
Nd 0.8722 0.2913 0.1480
Li 0.8725 0.2913 0.8216
Li 0.3731 0.7909 0.6903
Mg 0.8726 0.2907 0.5573

Results
The value obtained for the calculated volume is 26.15 Å³ per atom. The total magnetic moment comes out at 0.000 μB/atom.

---

<b>
Computed, not measured: LiNdMg after structural relaxation at the GGA-PBE level of DFT.

Lattice parameters (Å, degrees): 3.4392 3.4392 7.0394 104.14 104.14 90.00
Sites, in units of the cell vectors:
Nd 0.9500 0.9500 0.9000
Li 0.2652 0.2652 0.5303
Mg 0.6348 0.6348 0.2697

Results
The value obtained for the calculated volume is 26.05 Å³ per atom. The total magnetic moment comes out at 0.000 μB/atom.

---

Structures ranked by computed energy, the most stable listed first: <a>, <b>.